(1)
A plane-wave DFT calculation with GGA-PBE was carried out for a relaxed structure of Tm3TlTe2.

Unit cell a=4.207 b=6.124 c=7.643 alpha=113.62 beta=105.97 gamma=90.00
Fractional coordinates of all 6 atoms:
Tm 0.162 0.662 0.824
Tm 0.500 0.000 0.500
Tm 0.838 0.338 0.176
Te 0.170 0.170 0.840
Tl 0.500 0.500 0.500
Te 0.830 0.830 0.160

## Properties
total magnetic moment: 0.00 μB per formula unit
formation energy from raw total energies: -923.2 meV per atom
DFT total energy: -27.60 eV for the cell shown

=====

(2)
A plane-wave DFT calculation with GGA-PBE was carried out for a relaxed structure of AcYMg.

Unit cell a=4.850 b=4.850 c=8.989 alpha=90.00 beta=90.00 gamma=90.00
Fractional coordinates of all 6 atoms:
Ac 0.500 0.000 0.650
Mg 0.500 0.500 0.000
Y 0.000 0.500 0.771
Mg 0.000 0.000 0.000
Ac 0.000 0.500 0.350
Y 0.500 0.000 0.229

## Properties
total magnetic moment: 0.00 μB per formula unit
energy of formation: 0.56 eV per formula unit
DFT total energy: -23.22 eV for the cell shown

=====

(3)
A plane-wave DFT calculation with GGA-PBE was carried out for a relaxed structure of BaTeC2.

Unit cell a=6.489 b=6.489 c=6.005 alpha=57.30 beta=57.30 gamma=90.00
Fractional coordinates of all 8 atoms:
C 0.218 0.625 0.250
Ba 0.000 0.000 0.000
C 0.532 0.125 0.250
Te 0.500 0.500 0.000
C 0.875 0.782 0.750
Te 0.250 0.750 0.500
Ba 0.750 0.250 0.500
C 0.375 0.468 0.750

## Properties
total magnetic moment: 0.00 μB per formula unit
formation energy from raw total energies: 1087.0 meV per atom
DFT total energy: -38.33 eV for the cell shown

=====

(4)
A plane-wave DFT calculation with GGA-PBE was carried out for a relaxed structure of RbCaSiBr2.

Unit cell a=5.898 b=5.592 c=5.898 alpha=90.00 beta=90.00 gamma=90.00
Fractional coordinates of all 5 atoms:
Br 0.000 0.000 0.500
Si 0.000 0.000 0.000
Rb 0.500 0.500 0.500
Ca 0.000 0.500 0.000
Br 0.500 0.000 0.000

## Properties
total magnetic moment: 0.00 μB per formula unit
formation energy from raw total energies: -391.9 meV per atom
DFT total energy: -13.70 eV for the cell shown

=====

(5)
A plane-wave DFT calculation with GGA-PBE was carried out for a relaxed structure of Sr2MnFe.

Unit cell a=4.210 b=4.210 c=9.147 alpha=82.76 beta=82.76 gamma=49.02
Fractional coordinates of all 4 atoms:
Mn 0.750 0.750 0.750
Sr 0.992 0.992 0.019
Fe 0.250 0.250 0.250
Sr 0.508 0.508 0.481

## Properties
total magnetic moment: 6.36 μB per formula unit
energy of formation: 3.84 eV per formula unit
DFT total energy: -17.15 eV for the cell shown

=====

(6)
A plane-wave DFT calculation with GGA-PBE was carried out for a relaxed structure of Sn2Mo2As.

Unit cell a=6.806 b=6.806 c=4.167 alpha=90.00 beta=90.00 gamma=90.00
Fractional coordinates of all 10 atoms:
Sn 0.155 0.655 0.500
Mo 0.651 0.151 0.000
As 0.500 0.500 0.000
Mo 0.349 0.849 0.000
Sn 0.845 0.345 0.500
As 0.000 0.000 0.000
Sn 0.345 0.155 0.500
Mo 0.849 0.651 0.000
Mo 0.151 0.349 0.000
Sn 0.655 0.845 0.500

## Properties
total magnetic moment: 0.00 μB per formula unit
energy of formation: 1.31 eV per formula unit
DFT total energy: -66.01 eV for the cell shown